--- P ---
VASP calculation (PBE) on a relaxed structure of SmYTlGa.

Structure (POSCAR):
```
SmYTlGa
1.0
0.000 3.733 3.733
3.733 0.000 3.733
3.733 3.733 0.000
Sm Y Tl Ga
1 1 1 1
direct
0.000 0.000 0.000
0.500 0.500 0.500
0.250 0.250 0.250
0.750 0.750 0.750
```



--- Q ---
VASP calculation (PBE) on a relaxed structure of SmYTlGa.

Structure (POSCAR):
```
SmYTlGa
1.0
3.648 0.000 0.000
0.000 3.648 0.000
0.000 0.000 7.773
Sm Y Tl Ga
1 1 1 1
direct
0.000 0.000 0.000
0.000 0.000 0.535
0.500 0.500 0.274
0.500 0.500 0.762
```



Question: which arrangement is favored energetically? Ranking from most to least stable: Q, P.



--- P ---
VASP calculation (PBE) on a relaxed structure of Sm3TmGa2.

Structure (POSCAR):
```
Sm3TmGa2
1.0
8.630 -2.261 0.000
8.630 2.261 0.000
-3.747 0.000 8.444
Sm Tm Ga
6 2 4
direct
0.043 0.043 0.189
0.321 0.321 0.572
0.349 0.349 0.021
0.651 0.651 0.979
0.679 0.679 0.428
0.957 0.957 0.811
0.118 0.118 0.640
0.882 0.882 0.360
0.234 0.234 0.216
0.494 0.494 0.357
0.506 0.506 0.643
0.766 0.766 0.784
```



--- Q ---
VASP calculation (PBE) on a relaxed structure of Sm3TmGa2.

Structure (POSCAR):
```
Sm3TmGa2
1.0
5.064 0.000 0.000
0.000 9.589 0.000
0.000 0.000 6.578
Sm Tm Ga
6 2 4
direct
0.000 0.046 0.000
0.000 0.332 0.343
0.000 0.668 0.843
0.000 0.954 0.500
0.500 0.180 0.708
0.500 0.820 0.208
0.500 0.449 0.049
0.500 0.551 0.549
0.000 0.354 0.823
0.000 0.646 0.323
0.500 0.147 0.232
0.500 0.853 0.732
```



Question: which arrangement is favored energetically? Ranking from most to least stable: Q, P.



--- P ---
VASP calculation (PBE) on a relaxed structure of SmTm3Ga2.

Structure (POSCAR):
```
SmTm3Ga2
1.0
4.882 0.000 0.000
0.000 9.440 0.000
0.000 0.000 6.600
Sm Tm Ga
2 6 4
direct
0.000 0.050 0.000
0.000 0.950 0.500
0.000 0.323 0.625
0.000 0.677 0.125
0.500 0.189 0.292
0.500 0.447 0.921
0.500 0.553 0.421
0.500 0.811 0.792
0.000 0.364 0.172
0.000 0.636 0.672
0.500 0.139 0.744
0.500 0.861 0.244
```



--- Q ---
VASP calculation (PBE) on a relaxed structure of SmTm3Ga2.

Structure (POSCAR):
```
SmTm3Ga2
1.0
7.924 -2.530 0.000
7.924 2.530 0.000
-4.076 0.000 7.787
Sm Tm Ga
2 6 4
direct
0.131 0.131 0.188
0.869 0.869 0.812
0.063 0.063 0.717
0.312 0.312 0.012
0.380 0.380 0.489
0.620 0.620 0.511
0.688 0.688 0.988
0.937 0.937 0.283
0.225 0.225 0.615
0.486 0.486 0.848
0.514 0.514 0.152
0.775 0.775 0.385
```



Question: which arrangement is favored energetically? Ranking from most to least stable: P, Q.



--- P ---
VASP calculation (PBE) on a relaxed structure of Sm2TmGa2.

Structure (POSCAR):
```
Sm2TmGa2
1.0
7.668 0.000 0.000
0.000 7.668 0.000
0.000 0.000 4.450
Sm Tm Ga
4 2 4
direct
0.174 0.326 0.000
0.326 0.826 0.000
0.674 0.174 0.000
0.826 0.674 0.000
0.000 0.000 0.500
0.500 0.500 0.500
0.120 0.620 0.500
0.380 0.120 0.500
0.620 0.880 0.500
0.880 0.380 0.500
```



--- Q ---
VASP calculation (PBE) on a relaxed structure of Sm2TmGa2.

Structure (POSCAR):
```
Sm2TmGa2
1.0
2.736 -7.551 0.000
2.736 7.551 0.000
0.000 0.000 6.251
Sm Tm Ga
4 2 4
direct
0.045 0.955 0.500
0.204 0.796 0.944
0.796 0.204 0.444
0.955 0.045 0.000
0.411 0.589 0.684
0.589 0.411 0.184
0.233 0.767 0.417
0.393 0.607 0.204
0.607 0.393 0.704
0.767 0.233 0.917
```



Question: which arrangement is favored energetically? Ranking from most to least stable: P, Q.



--- P ---
VASP calculation (PBE) on a relaxed structure of Sm2TmGa3.

Structure (POSCAR):
```
Sm2TmGa3
1.0
2.313 -10.457 0.000
2.313 10.457 0.000
0.000 0.000 6.269
Sm Tm Ga
4 2 6
direct
0.035 0.965 0.750
0.147 0.853 0.250
0.853 0.147 0.750
0.965 0.035 0.250
0.327 0.673 0.250
0.673 0.327 0.750
0.256 0.744 0.750
0.437 0.563 0.548
0.437 0.563 0.952
0.563 0.437 0.048
0.563 0.437 0.452
0.744 0.256 0.250
```



--- Q ---
VASP calculation (PBE) on a relaxed structure of Sm2TmGa3.

Structure (POSCAR):
```
Sm2TmGa3
1.0
5.095 0.000 0.000
-2.547 4.412 0.000
0.000 0.000 12.541
Sm Tm Ga
4 2 6
direct
0.000 0.000 0.000
0.000 0.000 0.500
0.333 0.667 0.171
0.667 0.333 0.829
0.333 0.667 0.666
0.667 0.333 0.334
0.000 0.000 0.253
0.000 0.000 0.747
0.333 0.667 0.419
0.333 0.667 0.915
0.667 0.333 0.085
0.667 0.333 0.581
```



Question: which arrangement is favored energetically? Ranking from most to least stable: Q, P.



--- P ---
VASP calculation (PBE) on a relaxed structure of SmYGa4.

Structure (POSCAR):
```
SmYGa4
1.0
0.000 3.927 3.927
3.927 0.000 3.927
3.927 3.927 0.000
Sm Y Ga
1 1 4
direct
0.000 0.000 0.000
0.250 0.250 0.250
0.125 0.625 0.625
0.625 0.125 0.625
0.625 0.625 0.125
0.625 0.625 0.625
```



--- Q ---
VASP calculation (PBE) on a relaxed structure of SmYGa4.

Structure (POSCAR):
```
SmYGa4
1.0
-2.121 3.669 4.158
2.121 -3.669 4.158
2.121 3.669 -4.158
Sm Y Ga
1 1 4
direct
0.000 0.000 0.000
0.500 0.500 0.000
0.083 0.750 0.333
0.417 0.750 0.667
0.583 0.250 0.333
0.917 0.250 0.667
```



Question: which arrangement is favored energetically? Ranking from most to least stable: Q, P.



--- P ---
VASP calculation (PBE) on a relaxed structure of SmY3Ga2.

Structure (POSCAR):
```
SmY3Ga2
1.0
4.975 0.000 0.000
0.000 9.572 0.000
0.000 0.000 6.640
Sm Y Ga
2 6 4
direct
0.000 0.050 0.000
0.000 0.950 0.500
0.000 0.323 0.632
0.000 0.677 0.132
0.500 0.183 0.292
0.500 0.447 0.926
0.500 0.553 0.426
0.500 0.817 0.792
0.000 0.362 0.172
0.000 0.638 0.672
0.500 0.140 0.751
0.500 0.860 0.251
```



--- Q ---
VASP calculation (PBE) on a relaxed structure of SmY3Ga2.

Structure (POSCAR):
```
SmY3Ga2
1.0
-3.491 7.158 3.624
3.491 -7.158 3.624
3.491 7.158 -3.624
Sm Y Ga
2 6 4
direct
0.000 0.000 0.000
0.500 0.500 0.000
0.024 0.250 0.774
0.250 0.750 0.500
0.476 0.250 0.226
0.524 0.750 0.774
0.750 0.250 0.500
0.976 0.750 0.226
0.138 0.698 0.836
0.362 0.198 0.560
0.638 0.802 0.440
0.862 0.302 0.164
```



Question: which arrangement is favored energetically? Ranking from most to least stable: P, Q.



--- P ---
VASP calculation (PBE) on a relaxed structure of Sm2YGa.

Structure (POSCAR):
```
Sm2YGa
1.0
0.000 3.821 3.821
3.821 0.000 3.821
3.821 3.821 0.000
Sm Y Ga
2 1 1
direct
0.250 0.250 0.250
0.750 0.750 0.750
0.000 0.000 0.000
0.500 0.500 0.500
```



--- Q ---
VASP calculation (PBE) on a relaxed structure of Sm2YGa.

Structure (POSCAR):
```
Sm2YGa
1.0
4.760 0.000 0.000
0.000 4.760 0.000
0.000 0.000 4.854
Sm Y Ga
2 1 1
direct
0.000 0.500 0.000
0.500 0.000 0.000
0.000 0.000 0.500
0.500 0.500 0.500
```



Question: which arrangement is favored energetically? Ranking from most to least stable: Q, P.



--- P ---
VASP calculation (PBE) on a relaxed structure of SmY2Ga2.

Structure (POSCAR):
```
SmY2Ga2
1.0
5.733 0.000 0.000
0.000 4.074 0.000
-1.803 0.000 11.966
Sm Y Ga
2 4 4
direct
0.044 0.250 0.287
0.956 0.750 0.713
0.264 0.750 0.056
0.414 0.250 0.628
0.586 0.750 0.372
0.736 0.250 0.944
0.139 0.750 0.480
0.210 0.250 0.866
0.790 0.750 0.134
0.861 0.250 0.520
```



--- Q ---
VASP calculation (PBE) on a relaxed structure of SmY2Ga2.

Structure (POSCAR):
```
SmY2Ga2
1.0
7.708 0.000 0.000
0.000 7.708 0.000
0.000 0.000 4.365
Sm Y Ga
2 4 4
direct
0.000 0.000 0.000
0.500 0.500 0.000
0.174 0.326 0.500
0.326 0.826 0.500
0.674 0.174 0.500
0.826 0.674 0.500
0.119 0.619 0.000
0.381 0.119 0.000
0.619 0.881 0.000
0.881 0.381 0.000
```



Question: which arrangement is favored energetically? Ranking from most to least stable: Q, P.



--- P ---
VASP calculation (PBE) on a relaxed structure of Sm3YGa2.

Structure (POSCAR):
```
Sm3YGa2
1.0
8.727 -2.270 0.000
8.727 2.270 0.000
-3.806 0.000 8.430
Sm Y Ga
6 2 4
direct
0.044 0.044 0.190
0.319 0.319 0.573
0.349 0.349 0.022
0.651 0.651 0.978
0.681 0.681 0.427
0.956 0.956 0.810
0.118 0.118 0.640
0.882 0.882 0.360
0.233 0.233 0.214
0.497 0.497 0.358
0.503 0.503 0.642
0.767 0.767 0.786
```



--- Q ---
VASP calculation (PBE) on a relaxed structure of Sm3YGa2.

Structure (POSCAR):
```
Sm3YGa2
1.0
5.083 0.000 0.000
0.000 9.594 0.000
0.000 0.000 6.642
Sm Y Ga
6 2 4
direct
0.000 0.049 0.000
0.000 0.329 0.343
0.000 0.671 0.843
0.000 0.951 0.500
0.500 0.176 0.706
0.500 0.824 0.206
0.500 0.448 0.047
0.500 0.552 0.547
0.000 0.354 0.817
0.000 0.646 0.317
0.500 0.147 0.233
0.500 0.853 0.733
```



Question: which arrangement is favored energetically? Ranking from most to least stable: Q, P.



--- P ---
VASP calculation (PBE) on a relaxed structure of SmY2Ga6.

Structure (POSCAR):
```
SmY2Ga6
1.0
-2.167 3.537 6.646
2.167 -3.537 6.646
2.167 3.537 -6.646
Sm Y Ga
1 2 6
direct
0.000 0.000 0.000
0.373 0.873 0.500
0.627 0.127 0.500
0.009 0.316 0.693
0.314 0.500 0.814
0.377 0.684 0.693
0.623 0.316 0.307
0.686 0.500 0.186
0.991 0.684 0.307
```



--- Q ---
VASP calculation (PBE) on a relaxed structure of SmY2Ga6.

Structure (POSCAR):
```
SmY2Ga6
1.0
7.315 0.000 0.000
-3.658 6.335 0.000
0.000 0.000 4.170
Sm Y Ga
1 2 6
direct
0.000 0.000 0.000
0.333 0.667 0.000
0.667 0.333 0.000
0.000 0.334 0.500
0.000 0.666 0.500
0.334 0.000 0.500
0.334 0.334 0.500
0.666 0.000 0.500
0.666 0.666 0.500
```



Question: which arrangement is favored energetically? Ranking from most to least stable: Q, P.